Entry from the Alexandria database: a relaxed structure of Cs2LaB2Se6 (PBE).

```
Cs2LaB2Se6
1.0
6.2928 -3.6316 0.0000
6.2928 3.6316 0.0000
-4.2112 0.0000 8.3783
Cs La B Se
2 1 2 6
Direct
0.2107 0.2107 0.1333
0.7893 0.7893 0.8667
0.0000 0.0000 0.5000
0.4083 0.4083 0.7234
0.5917 0.5917 0.2766
0.2578 0.2578 0.7370
0.2577 0.7231 0.7377
0.2769 0.7423 0.2623
0.7231 0.2577 0.7377
0.7423 0.2769 0.2623
0.7422 0.7422 0.2630
```

**Formation energy without anion corrections**: -823 meV/atom
**Uncorrected energy**: -0.167 hartree per atom

=====

Entry from the Alexandria database: a relaxed structure of Ca2TlH2 (PBE).

```
Ca2TlH2
1.0
3.8481 0.0000 0.0000
0.0000 3.8481 0.0000
0.0000 0.0000 13.1752
Ca Tl H
4 2 4
Direct
0.0000 0.0000 0.1582
0.0000 0.0000 0.8418
0.5000 0.5000 0.3418
0.5000 0.5000 0.6582
0.0000 0.0000 0.5000
0.5000 0.5000 0.0000
0.0000 0.5000 0.2500
0.0000 0.5000 0.7500
0.5000 0.0000 0.2500
0.5000 0.0000 0.7500
```

**Uncorrected energy**: -0.114 hartree per atom

=====

Entry from the Alexandria database: a relaxed structure of AlIn3Co (PBE).

```
AlIn3Co
1.0
4.9442 0.0000 0.0000
0.0000 4.9442 0.0000
0.0000 0.0000 4.9442
Al In Co
1 3 1
Direct
0.0000 0.0000 0.0000
0.0000 0.5000 0.5000
0.5000 0.0000 0.5000
0.5000 0.5000 0.0000
0.5000 0.5000 0.5000
```

**Formation energy from the elements**: 0.23 eV per atom
**Uncorrected energy**: -0.132 hartree per atom